Record 1
First-principles (GGA-PBE) data for a relaxed AcInSnPd3 crystal, as listed in the Alexandria database.

Output
magnetic moment = 0.000 μB per formula unit
formation energy from the elements = -0.545 eV per atom

Structure (CIF):
```
data_AcInSnPd3
_cell_length_a 6.8221
_cell_length_b 12.8268
_cell_length_c 6.5202
_cell_angle_alpha 90.00
_cell_angle_beta 90.00
_cell_angle_gamma 90.00
_symmetry_space_group_name_H-M 'C m c m'
_symmetry_Int_Tables_number 63
_symmetry_space_group_name_Hall '-C 2c 2'
loop_
_atom_site_label
_atom_site_fract_x
_atom_site_fract_y
_atom_site_fract_z
_atom_site_occupancy
Ac1 0.0000 0.1898 0.2500 1
In1 0.0000 0.4492 0.2500 1
Sn1 0.0000 0.1300 0.7500 1
Pd1 0.0000 0.3366 0.7500 1
Pd2 0.2068 0.0000 0.0000 1
```

Record 2
First-principles (GGA-PBE) data for a relaxed Ac2In4SnPd3 crystal, as listed in the Alexandria database.

Output
magnetic moment = 0.000 μB per formula unit
formation energy from the elements = -0.601 eV per atom

Structure (CIF):
```
data_Ac2In4SnPd3
_cell_length_a 4.5871
_cell_length_b 4.5871
_cell_length_c 11.9168
_cell_angle_alpha 90.00
_cell_angle_beta 90.00
_cell_angle_gamma 90.00
_symmetry_space_group_name_H-M 'P -4 m 2'
_symmetry_Int_Tables_number 115
loop_
_symmetry_equiv_pos_as_xyz
'x,y,z'
'y,-x,-z'
'-x,-y,z'
'-y,x,-z'
'-x,y,z'
'-y,-x,-z'
'x,-y,z'
'y,x,-z'
loop_
_atom_site_label
_atom_site_fract_x
_atom_site_fract_y
_atom_site_fract_z
_atom_site_occupancy
Ac1 0.0000 0.5000 0.2407 1
In1 0.0000 0.0000 0.0000 1
In2 0.0000 0.5000 0.6431 1
In3 0.5000 0.5000 0.0000 1
Sn1 0.0000 0.0000 0.5000 1
Pd1 0.0000 0.5000 0.8669 1
Pd2 0.5000 0.5000 0.5000 1
```

Record 3
First-principles (GGA-PBE) data for a relaxed Ac2InSn3Pd4 crystal, as listed in the Alexandria database.

Output
magnetic moment = 0.000 μB per formula unit
formation energy from the elements = -0.801 eV per atom

Structure (CIF):
```
data_Ac2InSn3Pd4
_cell_length_a 4.6759
_cell_length_b 4.6759
_cell_length_c 10.9748
_cell_angle_alpha 90.00
_cell_angle_beta 90.00
_cell_angle_gamma 90.00
_symmetry_space_group_name_H-M 'P -4 m 2'
_symmetry_Int_Tables_number 115
loop_
_symmetry_equiv_pos_as_xyz
'x,y,z'
'y,-x,-z'
'-x,-y,z'
'-y,x,-z'
'-x,y,z'
'-y,-x,-z'
'x,-y,z'
'y,x,-z'
loop_
_atom_site_label
_atom_site_fract_x
_atom_site_fract_y
_atom_site_fract_z
_atom_site_occupancy
Ac1 0.0000 0.5000 0.2431 1
In1 0.0000 0.0000 0.5000 1
Sn1 0.0000 0.5000 0.8765 1
Sn2 0.5000 0.5000 0.5000 1
Pd1 0.0000 0.0000 0.0000 1
Pd2 0.0000 0.5000 0.6343 1
Pd3 0.5000 0.5000 0.0000 1
```

Record 4
First-principles (GGA-PBE) data for a relaxed AcInSn2Pd5 crystal, as listed in the Alexandria database.

Output
magnetic moment = 0.000 μB per formula unit
formation energy from the elements = -0.436 eV per atom

Structure (CIF):
```
data_AcInSn2Pd5
_cell_length_a 4.8640
_cell_length_b 4.8640
_cell_length_c 8.4558
_cell_angle_alpha 90.00
_cell_angle_beta 90.00
_cell_angle_gamma 90.00
_symmetry_space_group_name_H-M 'P 4/m m m'
_symmetry_Int_Tables_number 123
_symmetry_space_group_name_Hall '-P 4 2'
loop_
_atom_site_label
_atom_site_fract_x
_atom_site_fract_y
_atom_site_fract_z
_atom_site_occupancy
Ac1 0.0000 0.0000 0.0000 1
In1 0.0000 0.0000 0.5000 1
Sn1 0.5000 0.5000 0.3352 1
Pd1 0.0000 0.5000 0.2184 1
Pd2 0.5000 0.5000 0.0000 1
```